Compound: Ho2CrSe4
Source: Alexandria via LeMat-Bulk
Functional: GGA-PBE
Structure: relaxed

Results
**Total energy**: -42.4 eV/f.u.
**ρ**: 6.52 Mg/m³
**Space group**: C2/m, No. 12
**Size of the total moment**: 4.01 μB per formula unit

Structure (POSCAR):
```
Ho2CrSe4
1.0
7.162 -2.013 0.000
7.162 2.013 0.000
-3.451 0.000 6.159
Ho Cr Se
2 1 4
direct
0.229 0.229 0.219
0.771 0.771 0.781
0.500 0.500 0.500
0.128 0.128 0.484
0.387 0.387 0.081
0.613 0.613 0.919
0.872 0.872 0.516
```